# CsGaO2

CsGaO2 after structural relaxation (PBE, Alexandria).

The calculation puts the density of states at the Fermi level at 0.00 states/eV/cell. The crystal system is trigonal. For the magnetic moment, the calculation gives 0.00 μB per cell. The total energy comes out at -57.81 eV for the cell shown.

Lattice parameters (Å, degrees): 3.2627 3.2627 19.8249 90.00 90.00 120.00
Space group R-3m (No. 166, hexagonal axes)
Unique sites:
Cs  0.0000  0.0000  0.0000 (multiplicity 3)
Ga  0.0000  0.0000  0.5000 (multiplicity 3)
O  0.0000  0.0000  0.2173 (multiplicity 6)

---

# CsGaO2

CsGaO2 after structural relaxation (PBE, Alexandria).

The calculation puts the density of states at the Fermi level at 0.00 states/eV/cell. The crystal system is tetragonal. For the magnetic moment, the calculation gives 0.00 μB per cell. The total energy comes out at -76.22 eV for the cell shown.

Lattice parameters (Å, degrees): 6.074 6.074 9.368 90.00 90.00 90.00
Space group I4_1/amd (No. 141, origin choice 2)
Unique sites:
Cs  0.000  0.250  0.375 (multiplicity 4)
Ga  0.000  0.250  0.875 (multiplicity 4)
O  0.000  0.250  0.058 (multiplicity 8)

---

# CsGaO2

CsGaO2 after structural relaxation (PBE, Alexandria).

The calculation puts the density of states at the Fermi level at 0.00 states/eV/cell. The crystal system is trigonal. For the magnetic moment, the calculation gives 0.00 μB per cell. The total energy comes out at -56.45 eV for the cell shown.

Lattice parameters (Å, degrees): 4.1101 4.1101 21.0145 90.00 90.00 120.00
Space group R-3m (No. 166, hexagonal axes)
Unique sites:
Cs  0.0000  0.0000  0.0000 (multiplicity 3)
Ga  0.0000  0.0000  0.5000 (multiplicity 3)
O  0.0000  0.0000  0.4202 (multiplicity 6)

---

# CsGaO2

CsGaO2 after structural relaxation (PBE, Alexandria).

The calculation puts the density of states at the Fermi level at 0.00 states/eV/cell. The crystal system is monoclinic. For the magnetic moment, the calculation gives 0.00 μB per cell. The total energy comes out at -40.03 eV for the cell shown.

Lattice parameters (Å, degrees): 12.918 3.297 3.297 90.00 104.73 90.00
Space group Cm (No. 8)
Unique sites:
Cs  0.000  0.000  0.000 (multiplicity 2)
Ga  0.250  0.500  0.251 (multiplicity 2)
O  0.169  0.500  0.670 (multiplicity 2)
O  0.331  0.000  0.332 (multiplicity 2)

---

# CsGaO2

CsGaO2 after structural relaxation (PBE, Alexandria).

The calculation puts the density of states at the Fermi level at 0.00 states/eV/cell. The crystal system is triclinic. For the magnetic moment, the calculation gives 0.00 μB per cell. The total energy comes out at -40.92 eV for the cell shown.

Lattice parameters (Å, degrees): 3.304 6.633 7.792 115.09 102.23 90.00
Space group P-1 (No. 2)
Unique sites:
Cs  0.134  0.134  0.269 (multiplicity 2)
Ga  0.405  0.405  0.809 (multiplicity 2)
O  0.168  0.667  0.336 (multiplicity 2)
O  0.500  0.291  0.000 (multiplicity 2)

---

# CsGaO2

CsGaO2 after structural relaxation (PBE, Alexandria).

The calculation puts the density of states at the Fermi level at 0.00 states/eV/cell. The crystal system is monoclinic. For the magnetic moment, the calculation gives 0.00 μB per cell. The total energy comes out at -80.24 eV for the cell shown.

Lattice parameters (Å, degrees): 10.328 3.738 9.515 90.00 100.58 90.00
Space group Cm (No. 8)
Unique sites:
Cs  0.000  0.000  0.000 (multiplicity 2)
Cs  0.205  0.000  0.630 (multiplicity 2)
Ga  0.141  0.500  0.315 (multiplicity 2)
Ga  0.379  0.000  0.348 (multiplicity 2)
O  0.050  0.500  0.473 (multiplicity 2)
O  0.191  0.000  0.256 (multiplicity 2)
O  0.325  0.500  0.414 (multiplicity 2)
O  0.468  0.000  0.189 (multiplicity 2)

---

# Cs2GaO3

Cs2GaO3 after structural relaxation (PBE, Alexandria).

The calculation puts the density of states at the Fermi level at 25.70 states/eV/cell. The crystal system is orthorhombic. For the magnetic moment, the calculation gives 4.05 μB per cell. The total energy comes out at -110.72 eV for the cell shown.

Lattice parameters (Å, degrees): 11.175 7.819 5.661 90.00 90.00 90.00
Space group Cmcm (No. 63)
Unique sites:
Cs  0.160  0.155  0.250 (multiplicity 8)
Ga  0.000  0.417  0.750 (multiplicity 4)
O  0.000  0.179  0.750 (multiplicity 4)
O  0.112  0.500  0.000 (multiplicity 8)

---

# Cs2GaO

Cs2GaO after structural relaxation (PBE, Alexandria).

For the energy above the most stable polymorph in this dataset, the calculation gives 51.6 kJ/mol of atoms. The calculation puts the density of states at the Fermi level at 13.37 states/eV/cell. The crystal system is cubic. For the magnetic moment, the calculation gives 2.06 μB per cell. The total energy comes out at -38.23 eV for the cell shown.

Lattice parameters (Å, degrees): 8.025 8.025 8.025 90.00 90.00 90.00
Space group Fm-3m (No. 225)
Unique sites:
Cs  0.250  0.250  0.250 (multiplicity 8)
Ga  0.000  0.000  0.000 (multiplicity 4)
O  0.000  0.000  0.500 (multiplicity 4)

---

# Cs2GaO

Cs2GaO after structural relaxation (PBE, Alexandria).

For the energy above the most stable polymorph in this dataset, the calculation gives 0.0 kJ/mol of atoms. The calculation puts the density of states at the Fermi level at 15.15 states/eV/cell. The crystal system is tetragonal. For the magnetic moment, the calculation gives 0.01 μB per cell. The total energy comes out at -46.79 eV for the cell shown.

Lattice parameters (Å, degrees): 13.008 13.008 4.120 90.00 90.00 90.00
Space group I-42d (No. 122)
Unique sites:
Cs  0.025  0.250  0.125 (multiplicity 8)
Ga  0.000  0.000  0.500 (multiplicity 4)
O  0.000  0.000  0.000 (multiplicity 4)

---

# CsGaO2

CsGaO2 after structural relaxation (PBE, Alexandria).

The calculation puts the density of states at the Fermi level at 0.00 states/eV/cell. The crystal system is trigonal. For the magnetic moment, the calculation gives 0.00 μB per cell. The total energy comes out at -54.72 eV for the cell shown.

Lattice parameters (Å, degrees): 3.2312 3.2312 21.6022 90.00 90.00 120.00
Space group R-3m (No. 166, hexagonal axes)
Unique sites:
Cs  0.0000  0.0000  0.0000 (multiplicity 3)
Ga  0.0000  0.0000  0.5000 (multiplicity 3)
O  0.0000  0.0000  0.1212 (multiplicity 6)

---

# CsGaO2

CsGaO2 after structural relaxation (PBE, Alexandria).

The calculation puts the density of states at the Fermi level at 0.00 states/eV/cell. The crystal system is orthorhombic. For the magnetic moment, the calculation gives 0.00 μB per cell. The total energy comes out at -79.53 eV for the cell shown.

Lattice parameters (Å, degrees): 5.939 5.189 9.221 90.00 90.00 90.00
Space group Pnma (No. 62)
Unique sites:
Cs  0.010  0.250  0.127 (multiplicity 4)
Ga  0.003  0.750  0.374 (multiplicity 4)
O  0.009  0.250  0.431 (multiplicity 4)
O  0.240  0.250  0.756 (multiplicity 4)

---

# CsGaO2

CsGaO2 after structural relaxation (PBE, Alexandria).

The calculation puts the density of states at the Fermi level at 0.00 states/eV/cell. The crystal system is monoclinic. For the magnetic moment, the calculation gives 0.68 μB per cell. The total energy comes out at -332.64 eV for the cell shown.

Lattice parameters (Å, degrees): 9.363 9.364 13.939 90.00 99.07 90.00
Space group C2/c (No. 15)
Unique sites:
Cs  0.030  0.191  0.381 (multiplicity 8)
Cs  0.212  0.441  0.086 (multiplicity 8)
Ga  0.105  0.187  0.673 (multiplicity 8)
Ga  0.142  0.433  0.825 (multiplicity 8)
O  0.000  0.076  0.750 (multiplicity 4)
O  0.000  0.454  0.250 (multiplicity 4)
O  0.037  0.310  0.903 (multiplicity 8)
O  0.216  0.059  0.606 (multiplicity 8)
O  0.235  0.310  0.749 (multiplicity 8)

---

> magnetic moment of number 2 (CsGaO2)?

0.00 μB per cell